Material: Be2RhW
Method: DFT, GGA-PBE
State: relaxed

```
Be2RhW
1.0
6.1783 0.0000 0.0000
0.0000 6.1783 0.0000
0.0000 0.0000 5.1617
Be Rh W
8 4 4
Cartesian
1.4259 1.5446 0.6452
1.5446 4.5151 1.9356
1.5446 4.7525 4.5165
1.6633 1.5446 3.2260
4.5151 4.6338 3.2260
4.6338 1.4259 4.5165
4.6338 1.6633 1.9356
4.7525 4.6338 0.6452
0.0000 0.0000 0.0000
0.0000 3.0892 1.2904
3.0892 0.0000 3.8713
3.0892 3.0892 2.5808
0.0000 0.0000 2.5808
0.0000 3.0892 3.8713
3.0892 0.0000 1.2904
3.0892 3.0892 0.0000
```

E above lowest polymorph ... 516.8 meV/atom
Crystal system ... tetragonal
Magnetization ... 0.00 Bohr magnetons per cell
ΔE_f ... 266 meV per atom
Theoretical density ... 10.274 g/cm3
SG ... No. 122
V ... 197.0 Å³ per cell